Material: CdInCo2
Method: DFT, PBE-GGA
State: optimized geometry Values from VASP.

```
&SYSTEM
  ibrav = 0, nat = 8, ntyp = 3
/
ATOMIC_SPECIES
Cd 112.41 Cd.upf
Co 58.93 Co.upf
In 114.82 In.upf
CELL_PARAMETERS angstrom
-5.176 -4.189 2.502
2.782 -5.530 -3.504
0.341 -5.462 1.671
ATOMIC_POSITIONS angstrom
Cd -1.197 -4.860 -0.501
Cd 0.963 -7.926 -1.167
Co -2.819 -4.689 1.552
Co 1.194 -5.332 -1.468
Co -0.651 -7.723 0.889
Co -1.830 -12.619 0.365
In 0.000 0.000 0.000
In -3.016 -7.256 1.836
```

The total DFT energy (no corrections) is -3.822 eV/atom. As for the formation energy: 62.16 kJ/mol of atoms. The value obtained for the density of states at the Fermi level is 1.882 states/eV/atom.

***

Material: Cd2InCo
Method: DFT, PBE-GGA
State: optimized geometry Values from VASP.

```
&SYSTEM
  ibrav = 0, nat = 4, ntyp = 3
/
ATOMIC_SPECIES
Cd 112.41 Cd.upf
Co 58.93 Co.upf
In 114.82 In.upf
CELL_PARAMETERS angstrom
4.113 0.000 0.000
0.000 4.113 0.000
0.000 0.000 4.373
ATOMIC_POSITIONS angstrom
Cd 0.000 0.000 0.000
Cd 2.056 2.056 0.000
Co 2.056 0.000 2.186
In 0.000 2.056 2.186
```

The total DFT energy (no corrections) is -2.648 eV/atom. As for the formation energy: 26.09 kJ/mol of atoms. The value obtained for the density of states at the Fermi level is 0.879 states/eV/atom.

***

Material: CdInCo2
Method: DFT, PBE-GGA
State: optimized geometry Values from VASP.

```
&SYSTEM
  ibrav = 0, nat = 4, ntyp = 3
/
ATOMIC_SPECIES
Cd 112.41 Cd.upf
Co 58.93 Co.upf
In 114.82 In.upf
CELL_PARAMETERS angstrom
4.400 0.021 0.000
-0.018 4.400 0.000
0.000 0.000 3.115
ATOMIC_POSITIONS angstrom
Cd -0.009 2.200 1.558
Co 0.000 0.000 0.000
Co 2.191 2.211 0.000
In 2.200 0.011 1.558
```

The total DFT energy (no corrections) is -4.204 eV/atom. As for the formation energy: 25.27 kJ/mol of atoms. The value obtained for the density of states at the Fermi level is 1.272 states/eV/atom.

***

Material: CdIn2Co
Method: DFT, PBE-GGA
State: optimized geometry Values from VASP.

```
&SYSTEM
  ibrav = 0, nat = 8, ntyp = 3
/
ATOMIC_SPECIES
Cd 112.41 Cd.upf
Co 58.93 Co.upf
In 114.82 In.upf
CELL_PARAMETERS angstrom
-2.479 -2.740 -2.238
-0.019 -2.722 3.354
-9.003 1.510 3.956
ATOMIC_POSITIONS angstrom
Cd 0.000 0.000 0.000
Cd -6.366 -1.980 1.138
Co -1.249 -2.731 0.558
Co -5.136 -1.972 3.934
In -3.737 -1.603 0.069
In -2.638 -1.739 2.747
In -7.690 -0.988 3.474
In -8.938 -3.575 3.855
```

The total DFT energy (no corrections) is -2.945 eV/atom. As for the formation energy: 41.48 kJ/mol of atoms. The value obtained for the density of states at the Fermi level is 1.399 states/eV/atom.

***

Material: Cd2InCo
Method: DFT, PBE-GGA
State: optimized geometry Values from VASP.

```
&SYSTEM
  ibrav = 0, nat = 4, ntyp = 3
/
ATOMIC_SPECIES
Cd 112.41 Cd.upf
Co 58.93 Co.upf
In 114.82 In.upf
CELL_PARAMETERS angstrom
9.524 -0.101 -0.059
9.036 3.011 -0.059
9.036 1.417 2.657
ATOMIC_POSITIONS angstrom
Cd 27.307 4.281 2.512
Cd 14.088 2.209 1.296
Co 6.899 1.082 0.635
In 20.698 3.245 1.904
```

The total DFT energy (no corrections) is -2.626 eV/atom. As for the formation energy: 28.23 kJ/mol of atoms. The value obtained for the density of states at the Fermi level is 0.876 states/eV/atom.

***

Material: CdIn2Co
Method: DFT, PBE-GGA
State: optimized geometry Values from VASP.

```
&SYSTEM
  ibrav = 0, nat = 4, ntyp = 3
/
ATOMIC_SPECIES
Cd 112.41 Cd.upf
Co 58.93 Co.upf
In 114.82 In.upf
CELL_PARAMETERS angstrom
5.722 -0.046 0.281
-2.271 5.252 0.281
0.848 1.279 2.892
ATOMIC_POSITIONS angstrom
Cd 3.285 0.616 1.586
Co -0.712 3.266 1.586
In 0.000 0.000 0.000
In 1.726 2.603 0.281
```

The total DFT energy (no corrections) is -2.992 eV/atom. As for the formation energy: 36.92 kJ/mol of atoms. The value obtained for the density of states at the Fermi level is 0.969 states/eV/atom.

***

Material: Cd2InCo
Method: DFT, PBE-GGA
State: optimized geometry Values from VASP.

```
&SYSTEM
  ibrav = 0, nat = 4, ntyp = 3
/
ATOMIC_SPECIES
Cd 112.41 Cd.upf
Co 58.93 Co.upf
In 114.82 In.upf
CELL_PARAMETERS angstrom
5.108 0.043 0.000
-1.955 4.720 0.000
0.000 0.000 3.211
ATOMIC_POSITIONS angstrom
Cd 0.000 0.000 0.000
Cd 1.577 2.381 0.000
Co 2.554 0.021 1.605
In -0.977 2.360 1.605
```

The total DFT energy (no corrections) is -2.596 eV/atom. As for the formation energy: 31.17 kJ/mol of atoms. The value obtained for the density of states at the Fermi level is 0.933 states/eV/atom.

***

Material: Cd2InCo
Method: DFT, PBE-GGA
State: optimized geometry Values from VASP.

```
&SYSTEM
  ibrav = 0, nat = 4, ntyp = 3
/
ATOMIC_SPECIES
Cd 112.41 Cd.upf
Co 58.93 Co.upf
In 114.82 In.upf
CELL_PARAMETERS angstrom
5.296 0.000 0.000
0.000 2.943 0.004
0.000 0.030 4.997
ATOMIC_POSITIONS angstrom
Cd 0.000 0.015 0.042
Cd 0.000 1.472 2.459
Co 2.648 0.743 1.250
In 2.648 2.230 3.751
```

The total DFT energy (no corrections) is -2.610 eV/atom. As for the formation energy: 29.74 kJ/mol of atoms. The value obtained for the density of states at the Fermi level is 0.805 states/eV/atom.

***

Material: CdIn2Co
Method: DFT, PBE-GGA
State: optimized geometry Values from VASP.

```
&SYSTEM
  ibrav = 0, nat = 4, ntyp = 3
/
ATOMIC_SPECIES
Cd 112.41 Cd.upf
Co 58.93 Co.upf
In 114.82 In.upf
CELL_PARAMETERS angstrom
5.130 -0.008 0.000
1.566 4.885 0.000
-3.348 -2.439 3.026
ATOMIC_POSITIONS angstrom
Cd 0.783 2.442 1.513
Co 2.565 -0.004 1.513
In 0.000 0.000 0.000
In 3.348 2.439 0.000
```

The total DFT energy (no corrections) is -3.086 eV/atom. As for the formation energy: 27.87 kJ/mol of atoms. The value obtained for the density of states at the Fermi level is 0.513 states/eV/atom.

***

Material: CdInCo2
Method: DFT, PBE-GGA
State: optimized geometry Values from VASP.

```
&SYSTEM
  ibrav = 0, nat = 4, ntyp = 3
/
ATOMIC_SPECIES
Cd 112.41 Cd.upf
Co 58.93 Co.upf
In 114.82 In.upf
CELL_PARAMETERS angstrom
8.619 -0.006 -0.003
8.114 2.908 -0.003
8.114 1.407 2.545
ATOMIC_POSITIONS angstrom
Cd 18.635 3.232 1.904
Co 24.803 4.302 2.534
Co 12.467 2.162 1.274
In 6.212 1.077 0.635
```

The total DFT energy (no corrections) is -4.051 eV/atom. As for the formation energy: 40.09 kJ/mol of atoms. The value obtained for the density of states at the Fermi level is 1.047 states/eV/atom.

***

Material: CdIn2Co
Method: DFT, PBE-GGA
State: optimized geometry Values from VASP.

```
&SYSTEM
  ibrav = 0, nat = 4, ntyp = 3
/
ATOMIC_SPECIES
Cd 112.41 Cd.upf
Co 58.93 Co.upf
In 114.82 In.upf
CELL_PARAMETERS angstrom
-2.530 -4.447 -4.816
-3.054 -6.328 0.066
0.714 6.803 1.608
ATOMIC_POSITIONS angstrom
Cd -2.394 -4.619 -2.036
Co -2.542 -2.409 -0.329
In -0.396 -0.764 -0.337
In -2.331 -1.567 -2.814
```

The total DFT energy (no corrections) is -3.305 eV/atom. As for the formation energy: 6.68 kJ/mol of atoms. The value obtained for the density of states at the Fermi level is 0.652 states/eV/atom.

***

Material: Cd2InCo
Method: DFT, PBE-GGA
State: optimized geometry Values from VASP.

```
&SYSTEM
  ibrav = 0, nat = 4, ntyp = 3
/
ATOMIC_SPECIES
Cd 112.41 Cd.upf
Co 58.93 Co.upf
In 114.82 In.upf
CELL_PARAMETERS angstrom
6.856 0.011 -0.014
6.228 2.866 -0.014
1.404 0.309 4.130
ATOMIC_POSITIONS angstrom
Cd 12.295 2.704 0.252
Cd 8.033 1.767 1.773
Co 3.622 0.797 1.026
In 10.866 2.390 3.077
```

The total DFT energy (no corrections) is -2.840 eV/atom. As for the formation energy: 7.54 kJ/mol of atoms. The value obtained for the density of states at the Fermi level is 0.467 states/eV/atom.

***

Volume for every record listed, in sequence, given in Å³ per atom: 17.26 18.49 15.08 22.09 20.08 20.62 19.42 19.47 18.97 16.00 20.79 20.23.